one:
{"formula": "AgRu2F", "functional": "PBE", "state": "optimized geometry", "spacegroup": "Fm-3m", "lattice": [[2.640, -2.129, 2.839], [0.252, 1.332, 4.209], [-1.753, -2.482, 3.214]], "species": ["Ru", "Ru", "Ag", "F"], "fractional_positions": [[0.250, 0.250, 0.250], [0.750, 0.750, 0.750], [0.500, 0.500, 0.500], [0.000, 0.000, 0.000]]}


two:
{"formula": "AgRu2F", "functional": "PBE", "state": "optimized geometry", "spacegroup": "I-42d", "lattice": [[3.456, 0.000, 0.000], [0.000, 3.456, 0.000], [1.728, 1.728, 10.627]], "species": ["Ru", "Ru", "Ru", "Ru", "Ag", "Ag", "F", "F"], "fractional_positions": [[0.626, 0.125, 0.250], [0.124, 0.625, 0.250], [0.375, 0.374, 0.750], [0.875, 0.876, 0.750], [0.000, 0.000, 0.000], [0.750, 0.250, 0.500], [0.500, 0.500, 0.000], [0.250, 0.750, 0.500]]}


The structure with the greatest stability is two.


one:
{"formula": "Ag2RuF", "functional": "PBE", "state": "optimized geometry", "spacegroup": "Cm", "lattice": [[-3.672, 6.779, 4.632], [-0.490, -1.752, 2.175], [9.399, 1.105, 3.009]], "species": ["Ru", "Ru", "Ru", "Ru", "Ag", "Ag", "Ag", "Ag", "Ag", "Ag", "Ag", "Ag", "F", "F", "F", "F"], "fractional_positions": [[0.354, 0.000, 0.878], [0.354, 0.500, 0.378], [0.580, 0.000, 0.364], [0.580, 0.500, 0.864], [0.006, 0.000, 0.599], [0.006, 0.500, 0.099], [0.733, 0.000, 0.102], [0.733, 0.500, 0.602], [0.865, 0.000, 0.849], [0.865, 0.500, 0.349], [0.463, 0.000, 0.622], [0.463, 0.500, 0.122], [0.208, 0.000, 0.258], [0.208, 0.500, 0.758], [0.168, 0.000, 0.978], [0.168, 0.500, 0.478]]}


two:
{"formula": "Ag2RuF", "functional": "PBE", "state": "optimized geometry", "spacegroup": "Cm", "lattice": [[-3.308, -1.384, 8.862], [2.358, -1.426, 0.657], [5.381, 8.448, -0.976]], "species": ["Ru", "Ru", "Ru", "Ru", "Ag", "Ag", "Ag", "Ag", "Ag", "Ag", "Ag", "Ag", "F", "F", "F", "F"], "fractional_positions": [[0.357, 0.000, 0.783], [0.357, 0.500, 0.283], [0.581, 0.000, 0.420], [0.581, 0.500, 0.920], [0.007, 0.000, 0.411], [0.007, 0.500, 0.911], [0.732, 0.000, 0.761], [0.732, 0.500, 0.261], [0.868, 0.000, 0.085], [0.868, 0.500, 0.585], [0.462, 0.000, 0.097], [0.462, 0.500, 0.597], [0.192, 0.000, 0.857], [0.192, 0.500, 0.357], [0.178, 0.000, 0.125], [0.178, 0.500, 0.625]]}


The structure with the greatest stability is two.


one:
{"formula": "Ag2RuF", "functional": "PBE", "state": "optimized geometry", "spacegroup": "P1", "lattice": [[2.813, 0.000, -0.001], [0.003, 5.310, -0.003], [0.087, 2.176, 8.348]], "species": ["Ru", "Ru", "Ag", "Ag", "Ag", "Ag", "F", "F"], "fractional_positions": [[0.688, 0.688, 0.599], [0.194, 0.901, 0.360], [0.204, 0.738, 0.060], [0.696, 0.432, 0.330], [0.704, 0.209, 0.072], [0.187, 0.176, 0.603], [0.687, 0.811, 0.806], [0.675, 0.345, 0.792]]}


two:
{"formula": "Ag2RuF", "functional": "PBE", "state": "optimized geometry", "spacegroup": "P1", "lattice": [[-0.776, -0.282, 2.713], [1.190, -4.708, -1.622], [8.577, 1.812, 2.620]], "species": ["Ru", "Ru", "Ag", "Ag", "Ag", "Ag", "F", "F"], "fractional_positions": [[0.107, 0.277, 0.346], [0.131, 0.322, 0.593], [0.330, 0.718, 0.004], [0.860, 0.777, 0.733], [0.597, 0.250, 0.870], [0.391, 0.838, 0.464], [0.709, 0.484, 0.219], [0.986, 0.034, 0.148]]}


The structure with the greatest stability is one.